(1)
First-principles (PBE-GGA) data for an optimized crystal structure of BeAu, as listed in Alexandria via LeMat-Bulk.

Computed properties:
D(E_F): 1.394 states/eV/cell
E_tot: -27.5 eV for the cell shown
DFT formation energy: 0.070 eV/atom

The structure in CIF format:
```
data_BeAu
_space_group_name_H-M_alt 'P 63/m m c'
_space_group_IT_number 194
_space_group_name_Hall '-P 6c 2c'
_cell_length_a 3.7936
_cell_length_b 3.7936
_cell_length_c 8.8289
_cell_angle_alpha 90.00
_cell_angle_beta 90.00
_cell_angle_gamma 120.00
loop_
_atom_site_label
_atom_site_fract_x
_atom_site_fract_y
_atom_site_fract_z
Be1 0.0000 0.0000 0.2500
Be2 0.3333 0.6667 0.2500
Au1 0.3333 0.6667 0.5972
```


(2)
First-principles (PBE-GGA) data for an optimized crystal structure of BeAu, as listed in Alexandria via LeMat-Bulk.

Computed properties:
D(E_F): 0.786 states/eV/cell
E_tot: -14.0 eV for the cell shown
DFT formation energy: 0.004 eV/atom

The structure in CIF format:
```
data_BeAu
_space_group_name_H-M_alt 'P 63/m m c'
_space_group_IT_number 194
_space_group_name_Hall '-P 6c 2c'
_cell_length_a 3.6571
_cell_length_b 3.6571
_cell_length_c 4.9100
_cell_angle_alpha 90.00
_cell_angle_beta 90.00
_cell_angle_gamma 120.00
loop_
_atom_site_label
_atom_site_fract_x
_atom_site_fract_y
_atom_site_fract_z
Be1 0.0000 0.0000 0.0000
Au1 0.3333 0.6667 0.2500
```


(3)
First-principles (PBE-GGA) data for an optimized crystal structure of BeAu, as listed in Alexandria via LeMat-Bulk.

Computed properties:
D(E_F): 3.527 states/eV/cell
E_tot: -37.7 eV for the cell shown
DFT formation energy: 0.359 eV/atom

The structure in CIF format:
```
data_BeAu
_space_group_name_H-M_alt 'P m -3 n'
_space_group_IT_number 223
_space_group_name_Hall '-P 4n 2 3'
_cell_length_a 6.377
_cell_length_b 6.377
_cell_length_c 6.377
_cell_angle_alpha 90.00
_cell_angle_beta 90.00
_cell_angle_gamma 90.00
loop_
_atom_site_label
_atom_site_fract_x
_atom_site_fract_y
_atom_site_fract_z
Be1 0.000 0.250 0.500
Au1 0.000 0.500 0.250
```